No. 1
# HgBi2Pd7

Crystalline HgBi2Pd7 at its relaxed geometry (PBE, Alexandria).

a b c (Å): 9.0674 9.0674 3.0837
angles (deg): 90.00 90.00 125.46
Element x y z (fractional)
Hg  0.0000  0.0000  0.0000
Bi  0.3208  0.6792  0.5000
Bi  0.6792  0.3208  0.5000
Pd  0.1317  0.3146  0.5000
Pd  0.1801  0.8199  0.0000
Pd  0.3146  0.1317  0.5000
Pd  0.5000  0.5000  0.5000
Pd  0.6854  0.8683  0.5000
Pd  0.8199  0.1801  0.0000
Pd  0.8683  0.6854  0.5000

- Total magnetic moment: 0.0 μB/cell
- Formation energy from the elements: 0.6 eV/f.u.
- Density of states at the Fermi level: 6.6 states/eV/f.u.
- Relative energy among the computed polymorphs: 226.2 meV/atom

No. 2
# Hg2BiPd4

Crystalline Hg2BiPd4 at its relaxed geometry (PBE, Alexandria).

a b c (Å): 8.1076 8.1076 8.1076
angles (deg): 33.32 33.32 33.32
Element x y z (fractional)
Hg  0.2400  0.2400  0.2400
Hg  0.7600  0.7600  0.7600
Bi  0.0000  0.0000  0.0000
Pd  0.1212  0.1212  0.1212
Pd  0.3789  0.3789  0.3789
Pd  0.6211  0.6211  0.6211
Pd  0.8788  0.8788  0.8788

- Total magnetic moment: 0.0 μB/cell
- Formation energy from the elements: -0.1 eV/f.u.
- Density of states at the Fermi level: 3.7 states/eV/f.u.

No. 3
# HgBi2Pd

Crystalline HgBi2Pd at its relaxed geometry (PBE, Alexandria).

a b c (Å): 7.4459 7.4459 7.4459
angles (deg): 34.16 34.16 34.16
Element x y z (fractional)
Hg  0.0000  0.0000  0.0000
Bi  0.2244  0.2244  0.2244
Bi  0.7756  0.7756  0.7756
Pd  0.5000  0.5000  0.5000

- Total magnetic moment: 0.0 μB/cell
- Formation energy from the elements: -0.5 eV/f.u.
- Density of states at the Fermi level: 1.5 states/eV/f.u.

No. 4
# HgBiPd2

Crystalline HgBiPd2 at its relaxed geometry (PBE, Alexandria).

a b c (Å): 3.3942 3.3942 6.8825
angles (deg): 90.00 90.00 90.00
Element x y z (fractional)
Hg  0.0000  0.0000  0.0000
Bi  0.0000  0.0000  0.5000
Pd  0.5000  0.5000  0.2339
Pd  0.5000  0.5000  0.7661

- Total magnetic moment: 0.0 μB/cell
- Formation energy from the elements: -0.8 eV/f.u.
- Density of states at the Fermi level: 1.2 states/eV/f.u.
- Relative energy among the computed polymorphs: 0.0 meV/atom

No. 5
# HgBi2Pd

Crystalline HgBi2Pd at its relaxed geometry (PBE, Alexandria).

a b c (Å): 3.4030 3.4030 8.8895
angles (deg): 90.00 90.00 90.00
Element x y z (fractional)
Hg  0.0000  0.0000  0.0000
Bi  0.5000  0.5000  0.2983
Bi  0.5000  0.5000  0.7017
Pd  0.0000  0.0000  0.5000

- Total magnetic moment: 0.0 μB/cell
- Formation energy from the elements: -0.5 eV/f.u.
- Density of states at the Fermi level: 2.2 states/eV/f.u.

No. 6
# HgBi2Pd6

Crystalline HgBi2Pd6 at its relaxed geometry (PBE, Alexandria).

a b c (Å): 6.6003 6.6003 6.6003
angles (deg): 138.43 107.58 87.12
Element x y z (fractional)
Hg  0.0000  0.0000  0.0000
Bi  0.3251  0.3251  0.0000
Bi  0.6749  0.6749  0.0000
Pd  0.1421  0.8377  0.3045
Pd  0.2014  0.5000  0.7014
Pd  0.4668  0.1623  0.3045
Pd  0.5332  0.8377  0.6955
Pd  0.7986  0.5000  0.2986
Pd  0.8579  0.1623  0.6955

- Total magnetic moment: 0.0 μB/cell
- Formation energy from the elements: -1.2 eV/f.u.
- Density of states at the Fermi level: 4.3 states/eV/f.u.
- Relative energy among the computed polymorphs: 70.2 meV/atom